# 1
{"formula": "Sm3YTm2", "functional": "PBE", "state": "relaxed", "lattice": [[5.621, 0.000, 0.000], [0.000, 8.363, -3.212], [0.000, -0.244, 8.955]], "species": ["Sm", "Sm", "Sm", "Sm", "Sm", "Sm", "Y", "Y", "Tm", "Tm", "Tm", "Tm"], "frac_coords": [[0.993, 0.889, 0.375], [0.493, 0.625, 0.111], [0.993, 0.375, 0.889], [0.493, 0.111, 0.625], [0.493, 0.912, 0.912], [0.993, 0.088, 0.088], [0.993, 0.728, 0.728], [0.493, 0.272, 0.272], [0.493, 0.705, 0.492], [0.993, 0.508, 0.295], [0.493, 0.492, 0.705], [0.993, 0.295, 0.508]], "spacegroup": "No. 63", "formation_energy_mev_per_atom": 300, "de_polymorph_mev_per_atom": 297, "vol_a3_per_cell": 416.6, "m_tot_mub_per_cell": 0.00}

# 2
{"formula": "SmY7Tm3", "functional": "PBE", "state": "relaxed", "lattice": [[-6.613, 4.303, -4.027], [-3.778, -8.875, 2.354], [1.865, 0.582, 5.187]], "species": ["Sm", "Y", "Y", "Y", "Y", "Y", "Y", "Y", "Tm", "Tm", "Tm"], "frac_coords": [[0.500, 0.500, 0.500], [0.925, 0.832, 0.925], [0.823, 0.640, 0.323], [0.647, 0.289, 0.147], [0.353, 0.711, 0.853], [0.500, 0.000, 0.500], [0.177, 0.360, 0.677], [0.075, 0.168, 0.075], [0.224, 0.004, 0.724], [0.000, 0.500, 0.000], [0.776, 0.996, 0.276]], "spacegroup": "No. 10", "formation_energy_mev_per_atom": 146, "de_polymorph_mev_per_atom": 0, "vol_a3_per_cell": 358.9, "m_tot_mub_per_cell": 0.00}